VASP calculation (GGA-PBE) on crystalline GdHg2Sb at its relaxed geometry.

Properties
* E_form (uncorrected): -0.51 eV per atom
* electronic total energy: -20.83 eV per formula unit

abc: 5.1461 4.4628 4.4628
angles: 90.00 90.00 90.00
Closest atoms and distances in Å follow each position.
Positions (direct):
Hg 0.0000 0.5000 0.0000  4 Hg 3.16, 4 Gd 3.41, 4 Sb 3.41
Gd 0.5000 0.5000 0.5000  4 Sb 3.16, 8 Hg 3.41
Hg 0.0000 0.0000 0.5000  4 Hg 3.16, 4 Gd 3.41, 4 Sb 3.41
Sb 0.5000 0.0000 0.0000  4 Gd 3.16, 8 Hg 3.41

---

VASP calculation (GGA-PBE) on crystalline GdHgSb2 at its relaxed geometry.

Properties
* E_form (uncorrected): -0.24 eV per atom
* electronic total energy: -23.58 eV per formula unit
* polymorph energy (0 for the lowest one): 1.021 eV/f.u.

abc: 4.4901 4.4901 9.2301
angles: 75.92 75.92 60.00
Closest atoms and distances in Å follow each position.
Positions (direct):
Sb 0.8983 0.8983 0.3050  1 Hg 2.70
Gd 0.5000 0.5000 0.5000  6 Sb 3.11
Hg 0.0000 0.0000 0.0000  2 Sb 2.70
Sb 0.1017 0.1017 0.6950  1 Hg 2.70

---

VASP calculation (GGA-PBE) on crystalline SmGdHgSb at its relaxed geometry.

Properties
* E_form (uncorrected): -0.66 eV per atom
* electronic total energy: -25.86 eV per formula unit

abc: 5.3705 5.3705 5.3705
angles: 60.00 60.00 60.00
Closest atoms and distances in Å follow each position.
Positions (direct):
Gd 0.2500 0.2500 0.2500  4 Hg 3.29, 4 Sb 3.29
Sb 0.0000 0.0000 0.0000  4 Gd 3.29, 4 Sm 3.29
Hg 0.5000 0.5000 0.5000  4 Sm 3.29, 4 Gd 3.29
Sm 0.7500 0.7500 0.7500  4 Sb 3.29, 4 Hg 3.29

---

VASP calculation (GGA-PBE) on crystalline SrGdHgSb at its relaxed geometry.

Properties
* E_form (uncorrected): -0.64 eV per atom
* electronic total energy: -22.74 eV per formula unit

abc: 5.5159 5.5159 5.5159
angles: 60.00 60.00 60.00
Closest atoms and distances in Å follow each position.
Positions (direct):
Sr 0.0000 0.0000 0.0000  4 Sb 3.38, 4 Hg 3.38
Hg 0.7500 0.7500 0.7500  4 Gd 3.38, 4 Sr 3.38
Sb 0.2500 0.2500 0.2500  4 Gd 3.38, 4 Sr 3.38
Gd 0.5000 0.5000 0.5000  4 Hg 3.38, 4 Sb 3.38